1.
# Pm4Al16Co3 (PBE, optimized geometry)
# - DFT formation energy (eV per atom) = -0.47
# - spin magnetization (μB/f.u.) = 0.0
# - theoretical density (Mg/m³) = 4.7
# - volume (Å³/cell) = 419.9
# - final energy (eV per atom) = -4.827
data_Pm4Al16Co3
_space_group_name_H-M_alt 'P 1'
_space_group_IT_number 1
_cell_length_a 6.087
_cell_length_b 6.087
_cell_length_c 11.333
_cell_angle_alpha 90.00
_cell_angle_beta 90.00
_cell_angle_gamma 90.00
loop_
_space_group_symop_operation_xyz
'x,y,z'
loop_
_atom_site_label
_atom_site_type_symbol
_atom_site_fract_x
_atom_site_fract_y
_atom_site_fract_z
Al1 Al 0.500 0.500 0.807
Al2 Al 0.751 0.249 0.387
Al3 Al 0.724 0.276 0.000
Pm1 Pm 0.000 0.500 0.194
Al4 Al 0.276 0.724 0.000
Pm2 Pm 0.000 0.500 0.806
Pm3 Pm 0.500 0.000 0.194
Co1 Co 0.000 0.000 0.000
Al5 Al 0.249 0.751 0.387
Al6 Al 0.249 0.751 0.613
Al7 Al 0.000 0.000 0.785
Co2 Co 0.500 0.000 0.500
Al8 Al 0.249 0.249 0.387
Al9 Al 0.751 0.751 0.387
Al10 Al 0.751 0.249 0.613
Co3 Co 0.000 0.500 0.500
Al11 Al 0.276 0.276 0.000
Al12 Al 0.751 0.751 0.613
Al13 Al 0.249 0.249 0.613
Al14 Al 0.724 0.724 0.000
Al15 Al 0.000 0.000 0.215
Pm4 Pm 0.500 0.000 0.806
Al16 Al 0.500 0.500 0.193

***

2.
# Ba2Al (PBE, optimized geometry)
# - DFT formation energy (eV per atom) = 0.08
# - spin magnetization (μB/f.u.) = 0.0
# - theoretical density (Mg/m³) = 3.9
# - volume (Å³/cell) = 127.7
# - final energy (eV per atom) = -2.447
data_Ba2Al
_space_group_name_H-M_alt 'P 1'
_space_group_IT_number 1
_cell_length_a 5.729
_cell_length_b 5.729
_cell_length_c 4.494
_cell_angle_alpha 90.00
_cell_angle_beta 90.00
_cell_angle_gamma 120.00
loop_
_space_group_symop_operation_xyz
'x,y,z'
loop_
_atom_site_label
_atom_site_type_symbol
_atom_site_fract_x
_atom_site_fract_y
_atom_site_fract_z
Ba1 Ba 0.667 0.333 0.714
Al1 Al 0.000 0.000 0.000
Ba2 Ba 0.333 0.667 0.286

***

3.
# Cr2InBr (PBE, optimized geometry)
# - spin magnetization (μB/f.u.) = 8.2
# - theoretical density (Mg/m³) = 6.0
# - energy above the most stable polymorph in this dataset (meV per atom) = 459
# - volume (Å³/cell) = 82.4
# - final energy (eV per atom) = -5.240
# - E_form (uncorrected) (eV per atom) = 0.6748
data_Cr2InBr
_space_group_name_H-M_alt 'P 1'
_space_group_IT_number 1
_cell_length_a 5.052
_cell_length_b 5.052
_cell_length_c 5.052
_cell_angle_alpha 125.50
_cell_angle_beta 125.50
_cell_angle_gamma 80.71
loop_
_space_group_symop_operation_xyz
'x,y,z'
loop_
_atom_site_label
_atom_site_type_symbol
_atom_site_fract_x
_atom_site_fract_y
_atom_site_fract_z
Cr1 Cr 0.500 0.500 0.000
In1 In 0.250 0.750 0.500
Br1 Br 0.750 0.250 0.500
Cr2 Cr 0.000 0.000 0.000

***

4.
# Cu2RePd (PBE, optimized geometry)
# - DFT formation energy (eV per atom) = 0.83
# - spin magnetization (μB/f.u.) = 0.0
# - theoretical density (Mg/m³) = 11.7
# - energy above the most stable polymorph in this dataset (meV per atom) = 701
# - volume (Å³/cell) = 119.0
# - final energy (eV per atom) = -5.633
data_Cu2RePd
_space_group_name_H-M_alt 'P 1'
_space_group_IT_number 1
_cell_length_a 6.789
_cell_length_b 6.789
_cell_length_c 5.450
_cell_angle_alpha 51.48
_cell_angle_beta 51.48
_cell_angle_gamma 90.00
loop_
_space_group_symop_operation_xyz
'x,y,z'
loop_
_atom_site_label
_atom_site_type_symbol
_atom_site_fract_x
_atom_site_fract_y
_atom_site_fract_z
Cu1 Cu 0.375 0.370 0.750
Pd1 Pd 0.500 0.500 0.000
Re1 Re 0.750 0.250 0.500
Pd2 Pd 0.250 0.750 0.500
Cu2 Cu 0.875 0.880 0.750
Cu3 Cu 0.120 0.625 0.250
Cu4 Cu 0.630 0.125 0.250
Re2 Re 0.000 0.000 0.000

***

5.
# PuZrTl2Se4 (PBE, optimized geometry)
# - spin magnetization (μB/f.u.) = 6.0
# - theoretical density (Mg/m³) = 7.8
# - volume (Å³/cell) = 224.4
# - final energy (eV per atom) = -6.240
# - E_form (uncorrected) (eV per atom) = -1.0465
data_PuZrTl2Se4
_space_group_name_H-M_alt 'P 1'
_space_group_IT_number 1
_cell_length_a 4.054
_cell_length_b 7.056
_cell_length_c 8.172
_cell_angle_alpha 106.26
_cell_angle_beta 90.00
_cell_angle_gamma 90.00
loop_
_space_group_symop_operation_xyz
'x,y,z'
loop_
_atom_site_label
_atom_site_type_symbol
_atom_site_fract_x
_atom_site_fract_y
_atom_site_fract_z
Se1 Se 0.500 0.749 0.795
Tl1 Tl 0.000 0.500 0.500
Zr1 Zr 0.500 0.500 0.000
Se2 Se 0.500 0.251 0.205
Se3 Se 0.000 0.718 0.201
Se4 Se 0.000 0.282 0.799
Pu1 Pu 0.000 0.000 0.000
Tl2 Tl 0.500 0.000 0.500

***

6.
# CdTe3S (PBE, optimized geometry)
# - spin magnetization (μB/f.u.) = 1.6
# - theoretical density (Mg/m³) = 5.1
# - energy above the most stable polymorph in this dataset (meV per atom) = 485
# - volume (Å³/cell) = 172.5
# - final energy (eV per atom) = -1.997
# - E_form (uncorrected) (eV per atom) = 0.8964
data_CdTe3S
_space_group_name_H-M_alt 'P 1'
_space_group_IT_number 1
_cell_length_a 5.567
_cell_length_b 5.567
_cell_length_c 5.567
_cell_angle_alpha 90.00
_cell_angle_beta 90.00
_cell_angle_gamma 90.00
loop_
_space_group_symop_operation_xyz
'x,y,z'
loop_
_atom_site_label
_atom_site_type_symbol
_atom_site_fract_x
_atom_site_fract_y
_atom_site_fract_z
Te1 Te 0.000 0.000 0.500
Cd1 Cd 0.000 0.000 0.000
Te2 Te 0.000 0.500 0.000
Te3 Te 0.500 0.000 0.000
S1 S 0.500 0.500 0.500

***

7.
# VGe3Te (PBE, optimized geometry)
# - spin magnetization (μB/f.u.) = 2.0
# - theoretical density (Mg/m³) = 5.7
# - energy above the most stable polymorph in this dataset (meV per atom) = 0
# - volume (Å³/cell) = 116.5
# - final energy (eV per atom) = -4.875
# - E_form (uncorrected) (eV per atom) = 0.3471
data_VGe3Te
_space_group_name_H-M_alt 'P 1'
_space_group_IT_number 1
_cell_length_a 4.884
_cell_length_b 4.884
_cell_length_c 4.884
_cell_angle_alpha 90.00
_cell_angle_beta 90.00
_cell_angle_gamma 90.00
loop_
_space_group_symop_operation_xyz
'x,y,z'
loop_
_atom_site_label
_atom_site_type_symbol
_atom_site_fract_x
_atom_site_fract_y
_atom_site_fract_z
Te1 Te 0.500 0.500 0.500
Ge1 Ge 0.000 0.500 0.000
Ge2 Ge 0.500 0.000 0.000
V1 V 0.000 0.000 0.000
Ge3 Ge 0.000 0.000 0.500

***

8.
# TaSbTe2 (PBE, optimized geometry)
# - spin magnetization (μB/f.u.) = 0.0
# - theoretical density (Mg/m³) = 9.2
# - volume (Å³/cell) = 202.3
# - final energy (eV per atom) = -5.520
# - E_form (uncorrected) (eV per atom) = 0.0442
data_TaSbTe2
_space_group_name_H-M_alt 'P 1'
_space_group_IT_number 1
_cell_length_a 4.635
_cell_length_b 5.535
_cell_length_c 8.693
_cell_angle_alpha 90.00
_cell_angle_beta 90.00
_cell_angle_gamma 114.93
loop_
_space_group_symop_operation_xyz
'x,y,z'
loop_
_atom_site_label
_atom_site_type_symbol
_atom_site_fract_x
_atom_site_fract_y
_atom_site_fract_z
Te1 Te 0.354 0.706 0.557
Te2 Te 0.646 0.294 0.057
Te3 Te 0.646 0.294 0.443
Sb1 Sb 0.083 0.167 0.750
Ta1 Ta 0.227 0.453 0.250
Ta2 Ta 0.773 0.547 0.750
Te4 Te 0.354 0.706 0.943
Sb2 Sb 0.917 0.833 0.250

***

9.
# AcLa8Th3 (PBE, optimized geometry)
# - DFT formation energy (eV per atom) = 0.03
# - spin magnetization (μB/f.u.) = 0.0
# - theoretical density (Mg/m³) = 7.8
# - volume (Å³/cell) = 433.4
# - final energy (eV per atom) = -5.454
data_AcLa8Th3
_space_group_name_H-M_alt 'P 1'
_space_group_IT_number 1
_cell_length_a 6.438
_cell_length_b 6.438
_cell_length_c 12.077
_cell_angle_alpha 90.00
_cell_angle_beta 90.00
_cell_angle_gamma 120.00
loop_
_space_group_symop_operation_xyz
'x,y,z'
loop_
_atom_site_label
_atom_site_type_symbol
_atom_site_fract_x
_atom_site_fract_y
_atom_site_fract_z
La1 La 0.000 0.336 0.238
La2 La 0.333 0.667 0.500
La3 La 0.000 0.664 0.762
La4 La 0.664 0.000 0.762
Th1 Th 0.333 0.667 0.000
Ac1 Ac 0.000 0.000 0.500
Th2 Th 0.000 0.000 0.000
La5 La 0.667 0.333 0.500
La6 La 0.336 0.000 0.238
Th3 Th 0.667 0.333 0.000
La7 La 0.664 0.664 0.238
La8 La 0.336 0.336 0.762

***

10.
# Mn3CrW2 (PBE, optimized geometry)
# - DFT formation energy (eV per atom) = -0.03
# - spin magnetization (μB/f.u.) = 0.7
# - theoretical density (Mg/m³) = 12.8
# - volume (Å³/cell) = 75.7
# - final energy (eV per atom) = -10.539
data_Mn3CrW2
_space_group_name_H-M_alt 'P 1'
_space_group_IT_number 1
_cell_length_a 4.775
_cell_length_b 4.775
_cell_length_c 4.723
_cell_angle_alpha 90.03
_cell_angle_beta 120.34
_cell_angle_gamma 119.99
loop_
_space_group_symop_operation_xyz
'x,y,z'
loop_
_atom_site_label
_atom_site_type_symbol
_atom_site_fract_x
_atom_site_fract_y
_atom_site_fract_z
W1 W 0.748 0.374 0.122
Cr1 Cr 0.000 0.000 0.000
W2 W 0.252 0.626 0.878
Mn1 Mn 0.500 0.000 0.500
Mn2 Mn 0.000 0.000 0.500
Mn3 Mn 0.500 0.500 0.500

***

- The lowest volume belongs to which entry?
  Mn3CrW2